1.
Below is an optimized crystal structure of YPaAlGa, with properties calculated at the GGA-PBE level.

```
data_YPaAlGa
_chemical_formula_sum 'Y4 Pa4 Al4 Ga4'
_cell_length_a 7.1815
_cell_length_b 7.1815
_cell_length_c 7.1815
_cell_angle_alpha 90.00
_cell_angle_beta 90.00
_cell_angle_gamma 90.00
_symmetry_space_group_name_H-M 'F -4 3 m'
_symmetry_Int_Tables_number 216
_symmetry_space_group_name_Hall 'F -4 2 3'
loop_
_atom_site_label
_atom_site_fract_x
_atom_site_fract_y
_atom_site_fract_z
Y1 0.0000 0.0000 0.0000
Pa1 0.0000 0.0000 0.5000
Al1 0.2500 0.2500 0.2500
Ga1 0.2500 0.2500 0.7500
```

For the energy of formation, the calculation gives -201 meV/atom. The value obtained for the spin magnetization is 3.44 μB per cell. The calculated volume is 23.1 A^3/atom. For the energy, the calculation gives -5.88 eV/atom.

2.
Below is an optimized crystal structure of PaAlZnGa, with properties calculated at the GGA-PBE level.

```
data_PaAlZnGa
_chemical_formula_sum 'Pa4 Al4 Zn4 Ga4'
_cell_length_a 6.7268
_cell_length_b 6.7268
_cell_length_c 6.7268
_cell_angle_alpha 90.00
_cell_angle_beta 90.00
_cell_angle_gamma 90.00
_symmetry_space_group_name_H-M 'F -4 3 m'
_symmetry_Int_Tables_number 216
_symmetry_space_group_name_Hall 'F -4 2 3'
loop_
_atom_site_label
_atom_site_fract_x
_atom_site_fract_y
_atom_site_fract_z
Pa1 0.0000 0.0000 0.0000
Al1 0.0000 0.0000 0.5000
Zn1 0.2500 0.2500 0.7500
Ga1 0.2500 0.2500 0.2500
```

For the energy of formation, the calculation gives -116 meV/atom. The value obtained for the spin magnetization is 0.00 μB per cell. The value obtained for the energy relative to the lowest polymorph listed for this composition is 0.00 eV/f.u. The calculated volume is 19.0 A^3/atom. For the energy, the calculation gives -4.50 eV/atom.

energy of formation of number 2 (PaAlZnGa)?
-116 meV/atom

Which value of spin magnetization does entry 2 give?
0.00 μB per cell

Which of these has the lowest calculated volume?
PaAlZnGa

What is the spin magnetization in the first record?
3.44 μB per cell